Record 1
Sc5Sn3: single point on PBEsol structure, SCAN.

Lattice parameters (Å, degrees): 8.335 8.335 5.996 90.00 90.00 120.00
Atoms (fractional coordinates):
Sc 0.000 0.236 0.250
Sc 0.000 0.764 0.750
Sc 0.236 0.000 0.250
Sc 0.236 0.236 0.750
Sc 0.333 0.667 0.000
Sc 0.333 0.667 0.500
Sc 0.667 0.333 0.000
Sc 0.667 0.333 0.500
Sc 0.764 0.000 0.750
Sc 0.764 0.764 0.250
Sn 0.000 0.395 0.750
Sn 0.000 0.605 0.250
Sn 0.395 0.000 0.750
Sn 0.395 0.395 0.250
Sn 0.605 0.000 0.250
Sn 0.605 0.605 0.750

## Properties
N(E_F) = 0.56 states/eV/atom
Formation energy = -0.787 eV/atom
Crystal system = hexagonal
Uncorrected energy = -23.1558 eV/atom

Record 2
Li2VP2O7: single point on PBEsol structure, SCAN.

Lattice parameters (Å, degrees): 13.409 13.409 13.409 21.68 21.68 21.68
Atoms (fractional coordinates):
Li 0.134 0.134 0.134
Li 0.366 0.366 0.366
Li 0.634 0.634 0.634
Li 0.866 0.866 0.866
V 0.000 0.000 0.000
V 0.500 0.500 0.500
P 0.210 0.210 0.210
P 0.290 0.290 0.290
P 0.710 0.710 0.710
P 0.790 0.790 0.790
O 0.024 0.278 0.603
O 0.103 0.778 0.524
O 0.222 0.476 0.897
O 0.250 0.250 0.250
O 0.278 0.603 0.024
O 0.397 0.976 0.722
O 0.476 0.897 0.222
O 0.524 0.103 0.778
O 0.603 0.024 0.278
O 0.722 0.397 0.976
O 0.750 0.750 0.750
O 0.778 0.524 0.103
O 0.897 0.222 0.476
O 0.976 0.722 0.397

## Properties
N(E_F) = 0.00 states/eV/atom
Crystal system = trigonal
Formation energy (no corrections) = -243.1 kJ per mole of atoms
ΔE to the lowest computed polymorph = 23 meV/atom
Uncorrected energy = -9.7427 eV/atom

Record 3
LiTeO2F: single point on PBEsol structure, SCAN.

Lattice parameters (Å, degrees): 3.746 3.746 3.351 90.00 90.00 90.00
Atoms (fractional coordinates):
Li 0.000 0.000 0.000
Te 0.500 0.500 0.500
O 0.000 0.500 0.000
O 0.500 0.000 0.000
F 0.000 0.000 0.500

## Properties
N(E_F) = 0.10 states/eV/atom
Crystal system = tetragonal
Formation energy (no corrections) = -100.8 kJ per mole of atoms
Uncorrected energy = -12.1731 eV/atom

Record 4
KSe2I2: single point on PBEsol structure, SCAN.

Lattice parameters (Å, degrees): 12.584 12.584 12.584 163.09 163.09 24.00
Atoms (fractional coordinates):
K 0.000 0.000 0.000
Se 0.250 0.750 0.500
Se 0.750 0.250 0.500
I 0.406 0.406 0.000
I 0.594 0.594 0.000

## Properties
N(E_F) = 0.84 states/eV/atom
Crystal system = tetragonal
Formation energy (no corrections) = -35.2 kJ per mole of atoms
Uncorrected energy = -24.7589 eV/atom

Record 5
MnSb2PI: single point on PBEsol structure, SCAN.

Lattice parameters (Å, degrees): 5.169 5.169 5.294 90.00 90.00 90.00
Atoms (fractional coordinates):
Mn 0.000 0.000 0.000
Sb 0.000 0.500 0.500
Sb 0.500 0.000 0.500
P 0.500 0.500 0.500
I 0.500 0.500 0.000

## Properties
N(E_F) = 0.73 states/eV/atom
Crystal system = tetragonal
Formation energy (no corrections) = 72.0 kJ per mole of atoms
ΔE to the lowest computed polymorph = 0 meV/atom
Uncorrected energy = -27.2372 eV/atom

Record 6
Al2WO2: single point on PBEsol structure, SCAN.

Lattice parameters (Å, degrees): 6.468 6.468 6.468 151.04 151.04 41.42
Atoms (fractional coordinates):
Al 0.174 0.174 0.000
Al 0.826 0.826 0.000
W 0.500 0.500 0.000
O 0.250 0.750 0.500
O 0.750 0.250 0.500

## Properties
N(E_F) = 0.38 states/eV/atom
Crystal system = tetragonal
Formation energy (no corrections) = -103.2 kJ per mole of atoms
Uncorrected energy = -20.6005 eV/atom

Record 7
BeCrIr2: single point on PBEsol structure, SCAN.

Lattice parameters (Å, degrees): 4.776 4.776 2.640 103.86 103.86 113.12
Atoms (fractional coordinates):
Be 0.000 0.000 0.000
Cr 0.500 0.500 0.000
Ir 0.000 0.500 0.500
Ir 0.500 0.000 0.500

## Properties
N(E_F) = 0.76 states/eV/atom
Formation energy = -0.049 eV/atom
Crystal system = monoclinic
Uncorrected energy = -41.2828 eV/atom

Record 8
Tl2AgSb: single point on PBEsol structure, SCAN.

Lattice parameters (Å, degrees): 5.225 5.225 5.225 60.00 60.00 60.00
Atoms (fractional coordinates):
Tl 0.250 0.250 0.250
Tl 0.750 0.750 0.750
Ag 0.000 0.000 0.000
Sb 0.500 0.500 0.500

## Properties
N(E_F) = 0.22 states/eV/atom
Crystal system = cubic
Formation energy (no corrections) = 16.3 kJ per mole of atoms
ΔE to the lowest computed polymorph = 96 meV/atom
Uncorrected energy = -53.1675 eV/atom

> Look up the N(E_F) of the third one.

0.10 states/eV/atom